Computed, not measured: an optimized crystal structure of Ca2MgCdIr at the PBE level of DFT.

Cell: 5.4460 5.4460 5.0713 Å, 90.00 90.00 90.00°
Fractional coordinates of all 5 atoms:
Ir1 0.0000 0.0000 0.0000
Cd1 0.5000 0.5000 0.5000
Ca1 0.0000 0.5000 0.0000
Ca2 0.5000 0.0000 0.0000
Mg1 0.0000 0.0000 0.5000

Computed properties:
* DFT total energy: -16.15 eV/cell
* space group: No. 123